No. 1
## Li2CaTlRe (PBE-GGA)

Data for an optimized crystal structure of Li2CaTlRe.

Unit cell a=4.897 b=4.979 c=4.897 alpha=90.00 beta=90.00 gamma=90.00
Fractional coordinates of all 5 atoms:
Li: 0.000 0.000 0.500
Tl: 0.500 0.500 0.500
Li: 0.500 0.000 0.000
Re: 0.000 0.500 0.000
Ca: 0.000 0.000 0.000

Results
**DOS at the Fermi energy**: 2.80 states/eV/f.u.
**Energy relative to the elements**: 1.41 eV/atom
**Total magnetic moment**: 1.4 μB per cell



No. 2
## LiCaV2Re (PBE-GGA)

Data for an optimized crystal structure of LiCaV2Re.

Unit cell a=4.638 b=5.105 c=4.638 alpha=90.00 beta=90.00 gamma=90.00
Fractional coordinates of all 5 atoms:
Li: 0.000 0.500 0.000
V: 0.000 0.000 0.500
Ca: 0.500 0.500 0.500
Re: 0.000 0.000 0.000
V: 0.500 0.000 0.000

Results
**DOS at the Fermi energy**: 6.72 states/eV/f.u.
**Energy relative to the elements**: 0.74 eV/atom
**Total magnetic moment**: 2.8 μB per cell



No. 3
## LiCaZrRe2 (PBE-GGA)

Data for an optimized crystal structure of LiCaZrRe2.

Unit cell a=4.580 b=4.233 c=4.580 alpha=90.00 beta=90.00 gamma=90.00
Fractional coordinates of all 5 atoms:
Li: 0.000 0.000 0.000
Ca: 0.000 0.500 0.000
Re: 0.000 0.000 0.500
Re: 0.500 0.000 0.000
Zr: 0.500 0.500 0.500

Results
**DOS at the Fermi energy**: 7.52 states/eV/f.u.
**Energy relative to the elements**: 1.14 eV/atom
**Total magnetic moment**: 0.0 μB per cell



No. 4
## Li2CaZrRe (PBE-GGA)

Data for an optimized crystal structure of Li2CaZrRe.

Unit cell a=4.588 b=5.117 c=4.588 alpha=90.00 beta=90.00 gamma=90.00
Fractional coordinates of all 5 atoms:
Li: 0.000 0.000 0.500
Zr: 0.000 0.000 0.000
Li: 0.500 0.000 0.000
Re: 0.500 0.500 0.500
Ca: 0.000 0.500 0.000

Results
**DOS at the Fermi energy**: 9.68 states/eV/f.u.
**Energy relative to the elements**: 2.19 eV/atom
**Total magnetic moment**: 0.2 μB per cell



No. 5
## LiCa2Rh (PBE-GGA)

Data for an optimized crystal structure of LiCa2Rh.

Unit cell a=4.276 b=4.275 c=7.140 alpha=72.55 beta=72.55 gamma=59.98
Fractional coordinates of all 4 atoms:
Rh: 0.470 0.233 0.827
Ca: 0.890 0.653 0.566
Li: 0.136 0.898 0.830
Ca: 0.714 0.477 0.094

Results
**DOS at the Fermi energy**: 1.66 states/eV/f.u.
**Energy relative to the elements**: -0.20 eV/atom
**Total magnetic moment**: 0.0 μB per cell



No. 6
## Li5Ca2Rh4 (PBE-GGA)

Data for an optimized crystal structure of Li5Ca2Rh4.

Unit cell a=5.161 b=6.614 c=6.606 alpha=76.17 beta=67.01 gamma=67.04
Fractional coordinates of all 11 atoms:
Ca: 0.705 0.295 0.295
Rh: 0.757 0.577 0.908
Li: 0.748 0.190 0.810
Li: 0.748 0.810 0.190
Ca: 0.295 0.705 0.705
Li: 0.252 0.190 0.810
Li: 0.000 0.500 0.500
Li: 0.252 0.810 0.190
Rh: 0.243 0.092 0.422
Rh: 0.757 0.908 0.578
Rh: 0.243 0.423 0.092

Results
**DOS at the Fermi energy**: 2.94 states/eV/f.u.
**Energy relative to the elements**: -0.15 eV/atom
**Total magnetic moment**: 0.0 μB per cell



No. 7
## LiCa2Rh (PBE-GGA)

Data for an optimized crystal structure of LiCa2Rh.

Unit cell a=9.819 b=9.819 c=9.819 alpha=21.41 beta=21.41 gamma=21.41
Fractional coordinates of all 4 atoms:
Ca: 0.482 0.482 0.482
Ca: 0.018 0.018 0.018
Rh: 0.750 0.750 0.750
Li: 0.250 0.250 0.250

Results
**DOS at the Fermi energy**: 2.68 states/eV/f.u.
**Energy relative to the elements**: -0.05 eV/atom
**Total magnetic moment**: 0.0 μB per cell



No. 8
## LiCa2Rh (PBE-GGA)

Data for an optimized crystal structure of LiCa2Rh.

Unit cell a=3.465 b=3.503 c=9.115 alpha=67.37 beta=90.00 gamma=90.00
Fractional coordinates of all 4 atoms:
Ca: 0.000 0.053 0.947
Ca: 0.000 0.447 0.553
Rh: 0.500 0.750 0.750
Li: 0.500 0.250 0.250

Results
**DOS at the Fermi energy**: 2.28 states/eV/f.u.
**Energy relative to the elements**: -0.23 eV/atom
**Total magnetic moment**: 0.0 μB per cell



No. 9
## LiCa2Rh (PBE-GGA)

Data for an optimized crystal structure of LiCa2Rh.

Unit cell a=5.668 b=5.668 c=5.668 alpha=134.63 beta=134.63 gamma=66.10
Fractional coordinates of all 4 atoms:
Ca: 0.000 0.000 0.000
Ca: 0.250 0.750 0.500
Rh: 0.750 0.250 0.500
Li: 0.500 0.500 0.000

Results
**DOS at the Fermi energy**: 2.13 states/eV/f.u.
**Energy relative to the elements**: -0.07 eV/atom
**Total magnetic moment**: 0.0 μB per cell



No. 10
## LiCa2Rh (PBE-GGA)

Data for an optimized crystal structure of LiCa2Rh.

Unit cell a=7.950 b=7.950 c=6.499 alpha=52.29 beta=52.29 gamma=90.00
Fractional coordinates of all 8 atoms:
Ca: 0.667 0.125 0.250
Rh: 0.750 0.250 0.500
Li: 0.250 0.750 0.500
Ca: 0.875 0.917 0.750
Li: 0.500 0.500 0.000
Ca: 0.375 0.333 0.750
Rh: 0.000 0.000 0.000
Ca: 0.083 0.625 0.250

Results
**DOS at the Fermi energy**: 1.28 states/eV/f.u.
**Energy relative to the elements**: 0.02 eV/atom
**Total magnetic moment**: 0.0 μB per cell



No. 11
## LiCa3Rh2 (PBE-GGA)

Data for an optimized crystal structure of LiCa3Rh2.

Unit cell a=3.457 b=3.457 c=11.812 alpha=90.00 beta=90.00 gamma=90.00
Fractional coordinates of all 6 atoms:
Ca: 0.000 0.000 0.715
Ca: 0.000 0.000 0.285
Rh: 0.500 0.500 0.152
Ca: 0.000 0.000 0.000
Rh: 0.500 0.500 0.848
Li: 0.500 0.500 0.500

Results
**Energy above the lowest structure with this stoichiometry**: 0 meV/atom
**DOS at the Fermi energy**: 2.88 states/eV/f.u.
**Energy relative to the elements**: -0.26 eV/atom
**Total magnetic moment**: 0.0 μB per cell



No. 12
## LiCa2Rh (PBE-GGA)

Data for an optimized crystal structure of LiCa2Rh.

Unit cell a=3.497 b=3.497 c=7.841 alpha=90.00 beta=90.00 gamma=90.01
Fractional coordinates of all 4 atoms:
Li: 0.000 0.000 0.570
Ca: 0.000 0.000 0.917
Rh: 0.500 0.500 0.692
Ca: 0.500 0.500 0.321

Results
**DOS at the Fermi energy**: 1.95 states/eV/f.u.
**Energy relative to the elements**: -0.13 eV/atom
**Total magnetic moment**: 0.0 μB per cell